Below is Dy2HS after structural relaxation, with properties calculated at the PBE level.

Lattice parameters (Å, degrees): 7.345 7.345 7.345 29.15 29.15 29.15
Fractional coordinates of all 4 atoms:
Dy 0.000 0.000 0.000
Dy 0.171 0.171 0.171
H 0.359 0.359 0.359
S 0.586 0.586 0.586

Calculated total energy = -20.70 eV for the cell shown

Below is Cs3Nd3HfS8 after structural relaxation, with properties calculated at the PBE level.

Lattice parameters (Å, degrees): 9.511 9.511 9.511 51.21 51.21 51.21
Fractional coordinates of all 15 atoms:
Cs 0.000 0.500 0.500
Cs 0.500 0.000 0.500
Cs 0.500 0.500 0.000
Nd 0.000 0.000 0.500
Nd 0.000 0.500 0.000
Nd 0.500 0.000 0.000
Hf 0.500 0.500 0.500
S 0.229 0.229 0.229
S 0.253 0.711 0.711
S 0.289 0.289 0.747
S 0.289 0.747 0.289
S 0.711 0.253 0.711
S 0.711 0.711 0.253
S 0.747 0.289 0.289
S 0.771 0.771 0.771

Calculated total energy = -86.46 eV for the cell shown
Formation energy without anion corrections = -26.6 eV per formula unit

Below is K6Hg2O after structural relaxation, with properties calculated at the PBE level.

Lattice parameters (Å, degrees): 8.088 8.092 13.958 90.00 125.38 90.00
Fractional coordinates of all 18 atoms:
K 0.226 0.232 0.001
K 0.226 0.268 0.501
K 0.229 0.000 0.230
K 0.229 0.500 0.730
K 0.233 0.725 0.501
K 0.233 0.775 0.001
K 0.767 0.225 0.999
K 0.767 0.275 0.499
K 0.771 0.000 0.770
K 0.771 0.500 0.270
K 0.774 0.732 0.499
K 0.774 0.768 0.999
Hg 0.250 0.501 0.250
Hg 0.250 0.999 0.750
Hg 0.750 0.001 0.250
Hg 0.750 0.499 0.750
O 0.000 0.000 0.000
O 0.000 0.500 0.500

Calculated total energy = -32.39 eV for the cell shown
Formation energy without anion corrections = -4.1 eV per formula unit

Below is Rb6SeO2 after structural relaxation, with properties calculated at the PBE level.

Lattice parameters (Å, degrees): 5.514 5.514 11.488 90.00 90.00 90.00
Fractional coordinates of all 9 atoms:
Rb 0.000 0.000 0.000
Rb 0.000 0.000 0.500
Rb 0.000 0.500 0.208
Rb 0.000 0.500 0.792
Rb 0.500 0.000 0.208
Rb 0.500 0.000 0.792
Se 0.500 0.500 0.000
O 0.000 0.000 0.264
O 0.000 0.000 0.736

Calculated total energy = -27.64 eV for the cell shown
Formation energy without anion corrections = -8.4 eV per formula unit

Below is Pr2DyTe3 after structural relaxation, with properties calculated at the PBE level.

Lattice parameters (Å, degrees): 7.770 7.770 7.770 146.58 132.11 59.65
Fractional coordinates of all 6 atoms:
Pr 0.175 0.175 0.000
Pr 0.825 0.825 0.000
Dy 0.500 0.500 0.000
Te 0.000 0.500 0.500
Te 0.343 0.843 0.500
Te 0.657 0.157 0.500

Calculated total energy = -31.90 eV for the cell shown
Formation energy without anion corrections = -8.3 eV per formula unit

Below is Pm2Y2Pd3 after structural relaxation, with properties calculated at the PBE level.

Lattice parameters (Å, degrees): 4.160 6.981 7.216 99.33 90.04 107.25
Fractional coordinates of all 7 atoms:
Pm 0.129 0.255 0.367
Pm 0.871 0.745 0.633
Y 0.371 0.741 0.104
Y 0.629 0.259 0.896
Pd 0.000 0.000 0.000
Pd 0.242 0.485 0.743
Pd 0.758 0.515 0.257

Calculated formation energy = -591 meV/atom
Calculated total energy = -42.15 eV for the cell shown

Below is Ti12In6Fe after structural relaxation, with properties calculated at the PBE level.

Lattice parameters (Å, degrees): 7.050 7.050 7.050 91.36 91.36 91.36
Fractional coordinates of all 19 atoms:
Ti 0.030 0.293 0.954
Ti 0.046 0.970 0.707
Ti 0.131 0.355 0.437
Ti 0.293 0.954 0.030
Ti 0.355 0.437 0.131
Ti 0.437 0.131 0.355
Ti 0.563 0.869 0.645
Ti 0.645 0.563 0.869
Ti 0.707 0.046 0.970
Ti 0.869 0.645 0.563
Ti 0.954 0.030 0.293
Ti 0.970 0.707 0.046
In 0.224 0.755 0.380
In 0.245 0.620 0.776
In 0.380 0.224 0.755
In 0.620 0.776 0.245
In 0.755 0.380 0.224
In 0.776 0.245 0.620
Fe 0.500 0.500 0.500

Calculated formation energy = 4 meV/atom
Calculated total energy = -119.55 eV for the cell shown

Below is Ba2GeH2 after structural relaxation, with properties calculated at the PBE level.

Lattice parameters (Å, degrees): 8.061 8.061 3.482 90.00 90.00 90.00
Fractional coordinates of all 10 atoms:
Ba 0.179 0.321 0.000
Ba 0.321 0.821 0.000
Ba 0.679 0.179 0.000
Ba 0.821 0.679 0.000
Ge 0.000 0.000 0.500
Ge 0.500 0.500 0.500
H 0.116 0.616 0.500
H 0.384 0.116 0.500
H 0.616 0.884 0.500
H 0.884 0.384 0.500

Calculated total energy = -32.83 eV for the cell shown

The calculation returns the following total magnetization values, one per record and in order: 0.001, 0.000, 0.000, 0.100, 0.000, 0.000, 0.660, 0.000 μB per formula unit.